4
Lattice="4.1380 0.0000 0.0000 0.0000 4.1380 0.0000 0.0000 0.0000 10.2302" Properties=species:S:1:pos:R:3 comment="Ba2LiPr | Alexandria via LeMat-Bulk | PBE | optimized geometry" de_polymorph_ev_per_fu=0.00 ef_ev_per_fu=0.615 rho_g_cm3=4.0 pbc="T T T"
Ba 0.0000 0.0000 2.3078
Ba 0.0000 0.0000 7.9225
Li 2.0690 2.0690 0.0000
Pr 2.0690 2.0690 5.1151

---

4
Lattice="3.9271 0.0000 0.0000 0.0000 3.9271 0.0000 0.0000 0.0000 9.6336" Properties=species:S:1:pos:R:3 comment="BaLiPr2 | Alexandria via LeMat-Bulk | PBE | optimized geometry" de_polymorph_ev_per_fu=0.00 ef_ev_per_fu=0.703 rho_g_cm3=4.8 pbc="T T T"
Ba 0.0000 0.0000 0.0000
Li 0.0000 0.0000 4.8168
Pr 1.9635 1.9635 3.0847
Pr 1.9635 1.9635 6.5489